This record from Alexandria describes a relaxed KCaMoO4 crystal. The functional is PBE+U.

Unit cell a=6.190 b=6.139 c=7.278 alpha=90.00 beta=105.83 gamma=90.00
Positions (direct):
K (0.240, 0.250, 0.445)
K (0.760, 0.750, 0.555)
Ca (0.334, 0.250, 0.963)
Ca (0.666, 0.750, 0.037)
Mo (0.202, 0.750, 0.155)
Mo (0.798, 0.250, 0.845)
O (0.018, 0.750, 0.914)
O (0.041, 0.750, 0.331)
O (0.431, 0.530, 0.182)
O (0.431, 0.970, 0.182)
O (0.569, 0.030, 0.818)
O (0.569, 0.470, 0.818)
O (0.959, 0.250, 0.669)
O (0.982, 0.250, 0.086)

Properties
space-group type = No. 11
calculated volume = 19.01 Å³ per atom
calculated total energy = -6.32 eV per atom
D(E_F) = 0.00 states/eV/f.u.
crystal system = monoclinic